(1)
The following is a DFT calculation (PBE-GGA) of crystalline Nb6ZnS at its relaxed geometry.

Results
ΔE_f (raw): 0.16 eV/atom
Space group: No. 2
DOS at the Fermi energy: 6.79 states/eV/f.u.

Lattice parameters (Å, degrees): 5.924 5.926 6.014 90.06 119.47 119.97
Element x y z (fractional)
Nb (0.027, 0.033, 0.254)
Nb (0.261, 0.727, 0.254)
Nb (0.278, 0.506, 0.745)
Nb (0.722, 0.494, 0.255)
Nb (0.739, 0.273, 0.746)
Nb (0.973, 0.967, 0.746)
Zn (0.500, 0.000, 0.000)
S (0.500, 0.500, 0.500)

(2)
The following is a DFT calculation (PBE-GGA) of crystalline Sm3Sc5S12 at its relaxed geometry.

Results
ΔE_f (raw): -1.86 eV/atom
Space group: No. 230
DOS at the Fermi energy: 0.00 states/eV/f.u.

Lattice parameters (Å, degrees): 13.551 13.551 13.551 109.47 109.47 109.47
Element x y z (fractional)
Sm (0.125, 0.250, 0.375)
Sm (0.125, 0.375, 0.750)
Sm (0.250, 0.375, 0.125)
Sm (0.250, 0.875, 0.625)
Sm (0.375, 0.125, 0.250)
Sm (0.375, 0.750, 0.125)
Sm (0.625, 0.250, 0.875)
Sm (0.625, 0.875, 0.750)
Sm (0.750, 0.125, 0.375)
Sm (0.750, 0.625, 0.875)
Sm (0.875, 0.625, 0.250)
Sm (0.875, 0.750, 0.625)
Sc (0.000, 0.000, 0.000)
Sc (0.000, 0.000, 0.500)
Sc (0.000, 0.500, 0.000)
Sc (0.000, 0.500, 0.500)
Sc (0.125, 0.750, 0.875)
Sc (0.125, 0.875, 0.250)
Sc (0.250, 0.125, 0.875)
Sc (0.250, 0.625, 0.375)
Sc (0.375, 0.250, 0.625)
Sc (0.375, 0.625, 0.750)
Sc (0.500, 0.000, 0.000)
Sc (0.500, 0.000, 0.500)
Sc (0.500, 0.500, 0.000)
Sc (0.500, 0.500, 0.500)
Sc (0.625, 0.375, 0.250)
Sc (0.625, 0.750, 0.375)
Sc (0.750, 0.375, 0.625)
Sc (0.750, 0.875, 0.125)
Sc (0.875, 0.125, 0.750)
Sc (0.875, 0.250, 0.125)
S (0.038, 0.214, 0.126)
S (0.038, 0.324, 0.912)
S (0.088, 0.626, 0.412)
S (0.088, 0.714, 0.676)
S (0.088, 0.874, 0.412)
S (0.088, 0.962, 0.676)
S (0.126, 0.038, 0.214)
S (0.126, 0.588, 0.912)
S (0.176, 0.214, 0.588)
S (0.176, 0.462, 0.588)
S (0.214, 0.126, 0.038)
S (0.214, 0.588, 0.176)
S (0.286, 0.324, 0.912)
S (0.286, 0.462, 0.374)
S (0.324, 0.912, 0.038)
S (0.324, 0.912, 0.286)
S (0.374, 0.286, 0.462)
S (0.374, 0.588, 0.912)
S (0.412, 0.088, 0.626)
S (0.412, 0.088, 0.874)
S (0.412, 0.824, 0.538)
S (0.412, 0.824, 0.786)
S (0.462, 0.374, 0.286)
S (0.462, 0.588, 0.176)
S (0.538, 0.412, 0.824)
S (0.538, 0.626, 0.714)
S (0.588, 0.176, 0.214)
S (0.588, 0.176, 0.462)
S (0.588, 0.912, 0.126)
S (0.588, 0.912, 0.374)
S (0.626, 0.412, 0.088)
S (0.626, 0.714, 0.538)
S (0.676, 0.088, 0.714)
S (0.676, 0.088, 0.962)
S (0.714, 0.538, 0.626)
S (0.714, 0.676, 0.088)
S (0.786, 0.412, 0.824)
S (0.786, 0.874, 0.962)
S (0.824, 0.538, 0.412)
S (0.824, 0.786, 0.412)
S (0.874, 0.412, 0.088)
S (0.874, 0.962, 0.786)
S (0.912, 0.038, 0.324)
S (0.912, 0.126, 0.588)
S (0.912, 0.286, 0.324)
S (0.912, 0.374, 0.588)
S (0.962, 0.676, 0.088)
S (0.962, 0.786, 0.874)

(3)
The following is a DFT calculation (PBE-GGA) of crystalline Li2ScFe at its relaxed geometry.

Results
ΔH_f (0 K): 0.2463 eV/atom
Space group: No. 123
DOS at the Fermi energy: 4.78 states/eV/f.u.

Lattice parameters (Å, degrees): 3.672 3.672 4.954 90.00 90.00 90.00
Element x y z (fractional)
Li (0.000, 0.500, 0.000)
Li (0.500, 0.000, 0.000)
Sc (0.000, 0.000, 0.500)
Fe (0.500, 0.500, 0.500)

(4)
The following is a DFT calculation (PBE-GGA) of crystalline LiYCd2 at its relaxed geometry.

Results
ΔH_f (0 K): -0.1728 eV/atom
Space group: No. 8
DOS at the Fermi energy: 1.80 states/eV/f.u.

Lattice parameters (Å, degrees): 5.886 5.886 5.419 107.77 107.77 32.93
Element x y z (fractional)
Li (0.000, 0.000, 0.000)
Y (0.785, 0.785, 0.338)
Cd (0.262, 0.262, 0.831)
Cd (0.537, 0.537, 0.532)

(5)
The following is a DFT calculation (PBE-GGA) of crystalline HPdF2 at its relaxed geometry.

Results
Space group: No. 166
DOS at the Fermi energy: 0.83 states/eV/f.u.
Raw total energy: -3.623 eV per atom

Lattice parameters (Å, degrees): 6.101 6.101 6.101 25.73 25.73 25.73
Element x y z (fractional)
H (0.000, 0.000, 0.000)
Pd (0.500, 0.500, 0.500)
F (0.386, 0.386, 0.386)
F (0.614, 0.614, 0.614)

(6)
The following is a DFT calculation (PBE-GGA) of crystalline PmNd2YTl2 at its relaxed geometry.

Results
ΔH_f (0 K): -0.2826 eV/atom
Space group: No. 26
DOS at the Fermi energy: 6.76 states/eV/f.u.

Lattice parameters (Å, degrees): 5.222 10.252 6.922 90.00 90.00 90.00
Element x y z (fractional)
Pm (0.000, 0.042, 0.000)
Pm (0.000, 0.958, 0.500)
Nd (0.000, 0.317, 0.366)
Nd (0.000, 0.683, 0.866)
Nd (0.500, 0.455, 0.092)
Nd (0.500, 0.545, 0.592)
Y (0.500, 0.186, 0.720)
Y (0.500, 0.814, 0.220)
Tl (0.000, 0.356, 0.834)
Tl (0.000, 0.644, 0.334)
Tl (0.500, 0.129, 0.259)
Tl (0.500, 0.871, 0.759)

(7)
The following is a DFT calculation (PBE-GGA) of crystalline TlCuHg2F6 at its relaxed geometry.

Results
ΔE_f (raw): -1.42 eV/atom
Space group: No. 1

Lattice parameters (Å, degrees): 5.705 5.743 5.975 99.02 117.45 94.16
Element x y z (fractional)
Tl (0.000, 0.000, 0.000)
Cu (0.010, 0.589, 0.457)
Hg (0.388, 0.780, 0.301)
Hg (0.426, 0.411, 0.763)
F (0.170, 0.882, 0.678)
F (0.236, 0.369, 0.019)
F (0.659, 0.120, 0.697)
F (0.692, 0.622, 0.615)
F (0.710, 0.724, 0.147)
F (0.884, 0.284, 0.259)

(8)
The following is a DFT calculation (PBE-GGA) of crystalline Mg2Ga8Au at its relaxed geometry.

Results
ΔH_f (0 K): -0.0257 eV/atom
Space group: No. 164
DOS at the Fermi energy: 3.65 states/eV/f.u.

Lattice parameters (Å, degrees): 6.282 6.282 6.553 90.00 90.00 120.00
Element x y z (fractional)
Mg (0.333, 0.667, 0.344)
Mg (0.667, 0.333, 0.656)
Ga (0.152, 0.304, 0.671)
Ga (0.152, 0.848, 0.671)
Ga (0.304, 0.152, 0.329)
Ga (0.333, 0.667, 0.935)
Ga (0.667, 0.333, 0.065)
Ga (0.696, 0.848, 0.671)
Ga (0.848, 0.152, 0.329)
Ga (0.848, 0.696, 0.329)
Au (0.000, 0.000, 0.000)

(9)
The following is a DFT calculation (PBE-GGA) of crystalline CsInRe2As at its relaxed geometry.

Results
ΔH_f (0 K): 3.3051 eV/atom
Space group: No. 123
DOS at the Fermi energy: 5.62 states/eV/f.u.

Lattice parameters (Å, degrees): 5.225 5.225 5.611 90.00 90.00 90.00
Element x y z (fractional)
Cs (0.000, 0.000, 0.000)
In (0.500, 0.500, 0.500)
Re (0.000, 0.500, 0.000)
Re (0.500, 0.000, 0.000)
As (0.000, 0.000, 0.500)

(10)
The following is a DFT calculation (PBE-GGA) of crystalline GdHf2Ru at its relaxed geometry.

Results
ΔH_f (0 K): -0.2238 eV/atom
Space group: No. 123
DOS at the Fermi energy: 4.79 states/eV/f.u.

Lattice parameters (Å, degrees): 3.276 3.276 8.023 90.00 90.00 90.00
Element x y z (fractional)
Gd (0.000, 0.000, 0.000)
Hf (0.500, 0.500, 0.303)
Hf (0.500, 0.500, 0.697)
Ru (0.000, 0.000, 0.500)

(11)
The following is a DFT calculation (PBE-GGA) of crystalline ScTc3Au at its relaxed geometry.

Results
ΔH_f (0 K): 1.8887 eV/atom
Space group: No. 221
DOS at the Fermi energy: 8.00 states/eV/f.u.

Lattice parameters (Å, degrees): 4.904 4.904 4.904 90.00 90.00 90.00
Element x y z (fractional)
Sc (0.000, 0.000, 0.000)
Tc (0.000, 0.500, 0.500)
Tc (0.500, 0.000, 0.500)
Tc (0.500, 0.500, 0.000)
Au (0.500, 0.500, 0.500)

(12)
The following is a DFT calculation (PBE-GGA) of crystalline CeAl3Au at its relaxed geometry.

Results
ΔH_f (0 K): -0.4745 eV/atom
Space group: No. 62
DOS at the Fermi energy: 5.80 states/eV/f.u.

Lattice parameters (Å, degrees): 8.440 4.315 11.104 90.00 90.00 90.00
Element x y z (fractional)
Ce (0.182, 0.250, 0.010)
Ce (0.318, 0.750, 0.510)
Ce (0.682, 0.250, 0.490)
Ce (0.818, 0.750, 0.990)
Al (0.076, 0.250, 0.596)
Al (0.112, 0.750, 0.805)
Al (0.129, 0.750, 0.210)
Al (0.371, 0.250, 0.710)
Al (0.388, 0.250, 0.305)
Al (0.424, 0.750, 0.096)
Al (0.576, 0.250, 0.904)
Al (0.612, 0.750, 0.695)
Al (0.629, 0.750, 0.290)
Al (0.871, 0.250, 0.790)
Al (0.888, 0.250, 0.195)
Al (0.924, 0.750, 0.404)
Au (0.094, 0.250, 0.359)
Au (0.406, 0.750, 0.859)
Au (0.594, 0.250, 0.141)
Au (0.906, 0.750, 0.641)

(13)
The following is a DFT calculation (PBE-GGA) of crystalline SbMo at its relaxed geometry.

Results
ΔE_f (raw): 0.85 eV/atom
Space group: No. 194
DOS at the Fermi energy: 1.77 states/eV/f.u.

Lattice parameters (Å, degrees): 4.659 4.659 5.444 90.00 90.00 120.00
Element x y z (fractional)
Sb (0.333, 0.667, 0.250)
Sb (0.667, 0.333, 0.750)
Mo (0.333, 0.667, 0.750)
Mo (0.667, 0.333, 0.250)

(14)
The following is a DFT calculation (PBE-GGA) of crystalline BaNaTeF at its relaxed geometry.

Results
ΔE_f (raw): -2.23 eV/atom
Space group: No. 129
DOS at the Fermi energy: 0.00 states/eV/f.u.

Lattice parameters (Å, degrees): 4.677 4.677 10.377 90.00 90.00 90.00
Element x y z (fractional)
Ba (0.250, 0.250, 0.134)
Ba (0.750, 0.750, 0.866)
Na (0.250, 0.750, 0.500)
Na (0.750, 0.250, 0.500)
Te (0.250, 0.250, 0.696)
Te (0.750, 0.750, 0.304)
F (0.250, 0.750, 0.000)
F (0.750, 0.250, 0.000)

(15)
The following is a DFT calculation (PBE-GGA) of crystalline Cs6AgPb3 at its relaxed geometry.

Results
ΔH_f (0 K): -0.0326 eV/atom
Space group: No. 14
DOS at the Fermi energy: 7.99 states/eV/f.u.

Lattice parameters (Å, degrees): 11.630 7.441 15.861 90.00 132.83 90.00
Element x y z (fractional)
Cs (0.095, 0.087, 0.167)
Cs (0.095, 0.413, 0.667)
Cs (0.252, 0.563, 0.330)
Cs (0.252, 0.937, 0.830)
Cs (0.403, 0.695, 0.662)
Cs (0.403, 0.805, 0.162)
Cs (0.597, 0.195, 0.838)
Cs (0.597, 0.305, 0.338)
Cs (0.748, 0.063, 0.170)
Cs (0.748, 0.437, 0.670)
Cs (0.905, 0.587, 0.333)
Cs (0.905, 0.913, 0.833)
Ag (0.000, 0.000, 0.500)
Ag (0.000, 0.500, 0.000)
Pb (0.220, 0.143, 0.483)
Pb (0.220, 0.357, 0.983)
Pb (0.500, 0.000, 0.500)
Pb (0.500, 0.500, 0.000)
Pb (0.780, 0.643, 0.017)
Pb (0.780, 0.857, 0.517)

(16)
The following is a DFT calculation (PBE-GGA) of crystalline ScBPd2Rh at its relaxed geometry.

Results
ΔH_f (0 K): -0.6323 eV/atom
Space group: No. 123
DOS at the Fermi energy: 3.31 states/eV/f.u.

Lattice parameters (Å, degrees): 4.226 4.226 4.124 90.00 90.00 90.00
Element x y z (fractional)
Sc (0.000, 0.000, 0.000)
B (0.500, 0.500, 0.500)
Pd (0.000, 0.500, 0.500)
Pd (0.500, 0.000, 0.500)
Rh (0.500, 0.500, 0.000)

(17)
The following is a DFT calculation (PBE-GGA) of crystalline PmLu2Tc at its relaxed geometry.

Results
ΔH_f (0 K): -0.0546 eV/atom
Space group: No. 123
DOS at the Fermi energy: 6.67 states/eV/f.u.

Lattice parameters (Å, degrees): 3.400 3.400 8.956 90.00 90.00 90.00
Element x y z (fractional)
Pm (0.000, 0.000, 0.000)
Lu (0.500, 0.500, 0.320)
Lu (0.500, 0.500, 0.680)
Tc (0.000, 0.000, 0.500)

(18)
The following is a DFT calculation (PBE-GGA) of crystalline Mn2TlCu at its relaxed geometry.

Results
ΔH_f (0 K): 0.3959 eV/atom
Space group: No. 47
DOS at the Fermi energy: 3.85 states/eV/f.u.

Lattice parameters (Å, degrees): 3.945 3.990 4.029 90.00 90.00 90.00
Element x y z (fractional)
Mn (0.000, 0.000, 0.000)
Mn (0.500, 0.500, 0.000)
Tl (0.000, 0.500, 0.500)
Cu (0.500, 0.000, 0.500)

(19)
The following is a DFT calculation (PBE-GGA) of crystalline CeNiAu at its relaxed geometry.

Results
ΔH_f (0 K): -0.4542 eV/atom
Space group: No. 156
DOS at the Fermi energy: 5.36 states/eV/f.u.

Lattice parameters (Å, degrees): 4.488 4.488 3.513 90.00 90.00 120.00
Element x y z (fractional)
Ce (0.000, 0.000, 0.000)
Ni (0.667, 0.333, 0.501)
Au (0.333, 0.667, 0.500)

(20)
The following is a DFT calculation (PBE-GGA) of crystalline TbPrPu2Te5 at its relaxed geometry.

Results
ΔE_f (raw): -0.70 eV/atom
Space group: No. 123
DOS at the Fermi energy: 32.39 states/eV/f.u.

Lattice parameters (Å, degrees): 5.545 5.545 11.850 90.00 90.00 90.00
Element x y z (fractional)
Tb (0.000, 0.000, 0.000)
Pr (0.000, 0.000, 0.500)
Pu (0.500, 0.500, 0.173)
Pu (0.500, 0.500, 0.827)
Te (0.000, 0.000, 0.251)
Te (0.000, 0.000, 0.749)
Te (0.000, 0.500, 0.000)
Te (0.500, 0.000, 0.000)
Te (0.500, 0.500, 0.500)

(21)
The following is a DFT calculation (PBE-GGA) of crystalline Al2ZnRh at its relaxed geometry.

Results
ΔH_f (0 K): -0.3116 eV/atom
Space group: No. 216
DOS at the Fermi energy: 0.72 states/eV/f.u.

Lattice parameters (Å, degrees): 4.336 4.336 4.336 60.00 60.00 60.00
Element x y z (fractional)
Al (0.000, 0.000, 0.000)
Al (0.250, 0.250, 0.250)
Zn (0.750, 0.750, 0.750)
Rh (0.500, 0.500, 0.500)

(22)
The following is a DFT calculation (PBE-GGA) of crystalline LaScPt2 at its relaxed geometry.

Results
ΔH_f (0 K): -0.9881 eV/atom
Space group: No. 160
DOS at the Fermi energy: 3.53 states/eV/f.u.

Lattice parameters (Å, degrees): 7.116 7.116 7.116 33.03 33.03 33.03
Element x y z (fractional)
La (0.000, 0.000, 0.000)
Sc (0.827, 0.827, 0.827)
Pt (0.234, 0.234, 0.234)
Pt (0.426, 0.426, 0.426)